A plane-wave DFT calculation with SCAN was carried out for a PBEsol-optimized structure of CoSiIr2.

Unit cell a=2.767 b=2.767 c=6.486 alpha=90.00 beta=90.00 gamma=90.00
Atoms (fractional coordinates):
Co1 0.000 0.000 0.000
Si1 0.500 0.500 0.806
Ir1 0.000 0.000 0.570
Ir2 0.500 0.500 0.267

## Properties
Its density of states at the Fermi level is 0.635 states/eV/atom. The value obtained for the uncorrected formation energy is -0.225 eV/atom. For the raw total energy, the calculation gives -1.566 Ha/atom.